Record 1
First-principles (GGA-PBE) data for a relaxed Re2Pb crystal, as listed in Alexandria via LeMat-Bulk.

Lattice parameters (Å, degrees): 8.3382 8.3382 4.1091 90.00 90.00 151.78
Positions (direct):
Pb  0.9162  0.0838  0.7500
Pb  0.0838  0.9162  0.2500
Re  0.2499  0.7501  0.7500
Re  0.3416  0.6584  0.2500
Re  0.7501  0.2499  0.2500
Re  0.6584  0.3416  0.7500

Results
- total magnetic moment (μB/atom) = 0.000
- uncorrected energy (eV/atom) = -8.9018
- density of states at the Fermi level (states/eV per atom) = 0.567

---

Record 2
First-principles (GGA-PBE) data for a relaxed RePb crystal, as listed in Alexandria via LeMat-Bulk.

Lattice parameters (Å, degrees): 8.7033 14.2780 5.6587 90.00 90.00 90.00
Positions (direct):
Pb  0.1710  0.5000  0.0000
Pb  0.6710  0.0000  0.0000
Pb  0.5790  0.2500  0.7500
Pb  0.8290  0.5000  0.0000
Pb  0.4210  0.2500  0.2500
Pb  0.1710  0.0000  0.5000
Pb  0.0790  0.7500  0.7500
Pb  0.5790  0.7500  0.2500
Pb  0.9210  0.7500  0.2500
Pb  0.3290  0.0000  0.0000
Pb  0.3290  0.5000  0.5000
Pb  0.0790  0.2500  0.2500
Pb  0.6710  0.5000  0.5000
Pb  0.4210  0.7500  0.7500
Pb  0.8290  0.0000  0.5000
Pb  0.9210  0.2500  0.7500
Re  0.0000  0.0848  0.0000
Re  0.5000  0.0848  0.5000
Re  0.5000  0.4152  0.0000
Re  0.2500  0.1652  0.7500
Re  0.5000  0.9152  0.5000
Re  0.0000  0.9152  0.0000
Re  0.7500  0.1652  0.2500
Re  0.2500  0.6652  0.2500
Re  0.7500  0.6652  0.7500
Re  0.0000  0.4152  0.5000
Re  0.0000  0.5848  0.5000
Re  0.5000  0.5848  0.0000
Re  0.7500  0.3348  0.2500
Re  0.2500  0.3348  0.7500
Re  0.2500  0.8348  0.2500
Re  0.7500  0.8348  0.7500

Results
- total magnetic moment (μB/atom) = 0.000
- uncorrected energy (eV/atom) = -7.0458
- density of states at the Fermi level (states/eV per atom) = 0.972

---

Record 3
First-principles (GGA-PBE) data for a relaxed Re2Pb crystal, as listed in Alexandria via LeMat-Bulk.

Lattice parameters (Å, degrees): 3.6033 3.6033 4.9104 90.00 90.00 90.00
Positions (direct):
Pb  0.0000  0.0000  0.0000
Re  0.0000  0.5000  0.5000
Re  0.5000  0.0000  0.5000

Results
- total magnetic moment (μB/atom) = 0.000
- uncorrected energy (eV/atom) = -8.3846
- density of states at the Fermi level (states/eV per atom) = 0.891

---

Record 4
First-principles (GGA-PBE) data for a relaxed RePb4 crystal, as listed in Alexandria via LeMat-Bulk.

Lattice parameters (Å, degrees): 5.7631 5.7631 5.7631 109.47 109.47 109.47
Site moments in Bohr magnetons follow the coordinates.
Positions (direct):
Pb  0.0000  0.0000  0.5000  0.01
Pb  0.5000  0.0000  0.0000  0.01
Pb  0.0000  0.5000  0.0000  0.01
Pb  0.5000  0.5000  0.5000  0.01
Re  0.0000  0.0000  0.0000  0.26

Results
- total magnetic moment (μB/atom) = 0.080
- uncorrected energy (eV/atom) = -4.7273
- density of states at the Fermi level (states/eV per atom) = 1.277

---

Record 5
First-principles (GGA-PBE) data for a relaxed Re5Pb crystal, as listed in Alexandria via LeMat-Bulk.

Lattice parameters (Å, degrees): 6.3011 6.3011 4.0835 90.00 90.00 142.51
Site moments in Bohr magnetons follow the coordinates.
Positions (direct):
Pb  0.5000  0.5000  0.0000  0.00
Re  0.8184  0.1816  0.0000  0.01
Re  0.1816  0.8184  0.0000  0.01
Re  0.0000  0.0000  0.5000  0.65
Re  0.6750  0.3250  0.5000  0.06
Re  0.3250  0.6750  0.5000  0.06

Results
- total magnetic moment (μB/atom) = 0.148
- uncorrected energy (eV/atom) = -10.4003
- density of states at the Fermi level (states/eV per atom) = 1.093

---

Record 6
First-principles (GGA-PBE) data for a relaxed Re5Pb3 crystal, as listed in Alexandria via LeMat-Bulk.

Lattice parameters (Å, degrees): 9.1993 9.0885 9.1359 74.29 114.86 148.77
Positions (direct):
Pb  0.2253  0.6394  0.9259
Pb  0.2331  0.1699  0.9212
Pb  0.7661  0.8287  0.0773
Pb  0.7230  0.8098  0.5615
Pb  0.7747  0.3610  0.0747
Pb  0.2754  0.1899  0.4381
Re  0.6851  0.9909  0.7767
Re  0.5291  0.1266  0.7308
Re  0.2322  0.7341  0.4662
Re  0.2103  0.4364  0.6909
Re  0.9449  0.6652  0.6077
Re  0.0542  0.3350  0.3927
Re  0.7889  0.5638  0.3094
Re  0.7669  0.2662  0.5340
Re  0.4700  0.8737  0.2694
Re  0.3143  0.0095  0.2235

Results
- total magnetic moment (μB/atom) = 0.000
- uncorrected energy (eV/atom) = -8.5102
- density of states at the Fermi level (states/eV per atom) = 0.543

---

Record 7
First-principles (GGA-PBE) data for a relaxed Re2Pb crystal, as listed in Alexandria via LeMat-Bulk.

Lattice parameters (Å, degrees): 8.1379 8.1379 8.1379 150.84 150.84 41.71
Positions (direct):
Re  0.4177  0.4177  0.0000
Re  0.5823  0.5823  0.0000
Re  0.1677  0.6677  0.5000
Re  0.3323  0.8323  0.5000
Pb  0.0000  0.0000  0.0000
Pb  0.7500  0.2500  0.5000

Results
- total magnetic moment (μB/atom) = 0.000
- uncorrected energy (eV/atom) = -8.3941
- density of states at the Fermi level (states/eV per atom) = 0.659

---

Record 8
First-principles (GGA-PBE) data for a relaxed RePb crystal, as listed in Alexandria via LeMat-Bulk.

Lattice parameters (Å, degrees): 4.3061 5.5650 7.3972 90.00 90.00 90.00
Positions (direct):
Re  0.7500  0.1017  0.5270
Re  0.7500  0.3983  0.0270
Re  0.2500  0.8983  0.4730
Re  0.2500  0.6017  0.9730
Pb  0.2500  0.4065  0.3382
Pb  0.2500  0.0935  0.8382
Pb  0.7500  0.5935  0.6618
Pb  0.7500  0.9065  0.1618

Results
- total magnetic moment (μB/atom) = 0.000
- uncorrected energy (eV/atom) = -7.1842
- density of states at the Fermi level (states/eV per atom) = 0.623

---

Record 9
First-principles (GGA-PBE) data for a relaxed Re5Pb4 crystal, as listed in Alexandria via LeMat-Bulk.

Lattice parameters (Å, degrees): 8.7450 8.7450 5.3930 90.00 90.00 120.00
Positions (direct):
Pb  0.3131  0.3131  0.7500
Pb  0.3131  0.0000  0.2500
Pb  0.0000  0.0000  0.5000
Pb  0.0000  0.3131  0.2500
Pb  0.6869  0.6869  0.2500
Pb  0.0000  0.6869  0.7500
Pb  0.0000  0.0000  0.0000
Pb  0.6869  0.0000  0.7500
Re  0.6165  0.6165  0.7500
Re  0.6165  0.0000  0.2500
Re  0.6667  0.3333  0.0000
Re  0.3333  0.6667  0.5000
Re  0.3835  0.0000  0.7500
Re  0.6667  0.3333  0.5000
Re  0.3835  0.3835  0.2500
Re  0.0000  0.3835  0.7500
Re  0.0000  0.6165  0.2500
Re  0.3333  0.6667  0.0000

Results
- total magnetic moment (μB/atom) = 0.000
- uncorrected energy (eV/atom) = -7.1996
- density of states at the Fermi level (states/eV per atom) = 0.880

---

Record 10
First-principles (GGA-PBE) data for a relaxed Re3Pb4 crystal, as listed in Alexandria via LeMat-Bulk.

Lattice parameters (Å, degrees): 16.8016 16.8016 16.8016 169.25 169.25 15.22
Positions (direct):
Re  0.7301  0.7301  0.0000
Re  0.2699  0.2699  0.0000
Re  0.0000  0.0000  0.0000
Pb  0.8374  0.8374  0.0000
Pb  0.1626  0.1626  0.0000
Pb  0.4402  0.4402  0.0000
Pb  0.5598  0.5598  0.0000

Results
- total magnetic moment (μB/atom) = 0.000
- uncorrected energy (eV/atom) = -6.8771
- density of states at the Fermi level (states/eV per atom) = 0.668

---

Record 11
First-principles (GGA-PBE) data for a relaxed RePb5 crystal, as listed in Alexandria via LeMat-Bulk.

Lattice parameters (Å, degrees): 3.4411 3.4411 13.7100 90.00 90.00 90.00
Positions (direct):
Pb  0.5000  0.5000  0.6830
Pb  0.5000  0.5000  0.3170
Pb  0.0000  0.0000  0.1225
Pb  0.0000  0.0000  0.8775
Pb  0.0000  0.0000  0.5000
Re  0.5000  0.5000  0.0000

Results
- total magnetic moment (μB/atom) = 0.000
- uncorrected energy (eV/atom) = -4.7103
- density of states at the Fermi level (states/eV per atom) = 0.609

---

Record 12
First-principles (GGA-PBE) data for a relaxed RePb5 crystal, as listed in Alexandria via LeMat-Bulk.

Lattice parameters (Å, degrees): 9.5544 9.5544 5.5848 90.00 90.00 160.08
Site moments in Bohr magnetons follow the coordinates.
Positions (direct):
Pb  0.5102  0.4898  0.5000  -0.01
Pb  0.6388  0.3612  0.0000  0.00
Pb  0.3094  0.6906  0.0000  0.01
Pb  0.7678  0.2322  0.5000  -0.01
Pb  0.9682  0.0318  0.0000  0.01
Re  0.1390  0.8610  0.5000  1.40

Results
- total magnetic moment (μB/atom) = 0.272
- uncorrected energy (eV/atom) = -4.5774
- density of states at the Fermi level (states/eV per atom) = 0.745

---

- Which formula does entry 6 have?
  Re5Pb3